Li3Ti3VO8 | GGA+U | relaxed

**Total moment**: 3.9 Bohr magnetons per cell
**Electronic total energy**: -114.63 eV per cell
**Energy relative to the lowest polymorph listed for this composition**: 23.4 meV/atom
**Space group**: R-3m

Unit cell a=10.5018 b=10.5016 c=14.8940 alpha=19.01 beta=19.01 gamma=32.77
Last column: nearest neighbours and their distance in Å.
Atoms (fractional coordinates):
O (0.4984, 0.4984, 0.7421)  2 Ti 2.03, 1 V 2.03, 2 Li 2.21
Ti (0.5000, 0.5000, 0.0000)  6 O 2.03-2.07
Li (0.5000, 0.5000, 0.5000)  6 O 2.16-2.21
O (0.0000, 0.4983, 0.2612)  2 Ti 2.03, 1 V 2.03, 2 Li 2.21
Li (0.0000, 0.5000, 0.5000)  6 O 2.16-2.21
O (0.9999, 0.9999, 0.2551)  3 Ti 2.07, 3 Li 2.16
V (0.0000, 0.0000, 0.0000)  6 O 2.03
O (0.0000, 0.5017, 0.7388)  2 Ti 2.03, 1 V 2.03, 2 Li 2.21
O (0.0001, 0.0001, 0.7449)  3 Ti 2.07, 3 Li 2.16
Ti (0.5000, 0.0000, 0.0000)  6 O 2.03-2.07
O (0.4984, 0.0000, 0.2612)  2 Ti 2.03, 1 V 2.03, 2 Li 2.21
Li (0.5000, 0.0000, 0.5000)  6 O 2.16-2.21
O (0.5017, 0.0000, 0.7388)  2 Ti 2.03, 1 V 2.03, 2 Li 2.21
O (0.5016, 0.5016, 0.2579)  2 Ti 2.03, 1 V 2.03, 2 Li 2.21
Ti (0.0000, 0.5000, 0.0000)  6 O 2.03-2.07